# 1
First-principles (PBE) data for a geometry-optimized FeMoRu2 structure, as listed in Alexandria via LeMat-Bulk.

The size of the total moment is 0.817 μB/atom. The value obtained for the density is 10.4 g cm⁻³. The formation energy is 0.19 eV per atom. The calculation puts the calculated total energy at -37.091 eV for the cell shown. The excess energy over the best structure of this formula in the dataset comes out at 149 meV/atom.

Cell lengths 5.067, 5.067, 5.067 Å; angles 144.70, 130.72, 62.06 degrees
Fractional positions:
Fe1 0.000 0.000 0.000
Mo1 0.234 0.734 0.500
Ru1 0.493 0.493 0.000
Ru2 0.765 0.265 0.500

---

# 2
First-principles (PBE) data for a geometry-optimized PaGeC structure, as listed in Alexandria via LeMat-Bulk.

The size of the total moment is 0.000 μB/atom. The value obtained for the density is 9.0 g cm⁻³. The formation energy is 0.27 eV per atom. The calculation puts the calculated total energy at -22.528 eV for the cell shown. The excess energy over the best structure of this formula in the dataset comes out at 608 meV/atom.

Cell lengths 3.942, 3.942, 4.306 Å; angles 90.00, 90.00, 120.00 degrees
Fractional positions:
Pa1 0.000 0.000 0.000
Ge1 0.667 0.333 0.500
C1 0.333 0.667 0.000

---

# 3
First-principles (PBE) data for a geometry-optimized Sr3RhBr2 structure, as listed in Alexandria via LeMat-Bulk.

The size of the total moment is 0.000 μB/atom. The value obtained for the density is 4.4 g cm⁻³. The calculation puts the calculated total energy at -22.583 eV for the cell shown. The calculation puts the formation energy from raw total energies at -1140 meV per atom.

Cell lengths 8.302, 8.302, 8.302 Å; angles 149.89, 136.47, 53.84 degrees
Fractional positions:
Sr1 0.000 0.000 0.000
Sr2 0.364 0.364 0.000
Sr3 0.636 0.636 0.000
Rh1 0.500 0.000 0.500
Br1 0.188 0.688 0.500
Br2 0.812 0.312 0.500

---

# 4
First-principles (PBE) data for a geometry-optimized LaVFe2Cu structure, as listed in Alexandria via LeMat-Bulk.

The size of the total moment is 1.074 μB/atom. The value obtained for the density is 6.3 g cm⁻³. The formation energy is 1.84 eV per atom. The calculation puts the calculated total energy at -25.863 eV for the cell shown. The excess energy over the best structure of this formula in the dataset comes out at 701 meV/atom.

Cell lengths 4.499, 4.499, 4.717 Å; angles 90.00, 90.00, 90.00 degrees
Fractional positions:
La1 0.000 0.000 0.000
V1 0.000 0.000 0.500
Fe1 0.000 0.500 0.000
Fe2 0.500 0.000 0.000
Cu1 0.500 0.500 0.500

---

> Which value of size of the total moment does entry 2 give?

0.000 μB/atom

---

> Number 1 is which compound?

FeMoRu2

---

Please write out number 2 again, unchanged.
First-principles (PBE) data for a geometry-optimized PaGeC structure, as listed in Alexandria via LeMat-Bulk.

The size of the total moment is 0.000 μB/atom. The value obtained for the density is 9.0 g cm⁻³. The formation energy is 0.27 eV per atom. The calculation puts the calculated total energy at -22.528 eV for the cell shown. The excess energy over the best structure of this formula in the dataset comes out at 608 meV/atom.

Cell lengths 3.942, 3.942, 4.306 Å; angles 90.00, 90.00, 120.00 degrees
Fractional positions:
Pa1 0.000 0.000 0.000
Ge1 0.667 0.333 0.500
C1 0.333 0.667 0.000

---

> What is the calculated total energy in the third record?

-22.583 eV for the cell shown